1.
! BTeI2O, relaxed, DFT PBE-GGA; values from VASP
&SYSTEM
  ibrav = 0, nat = 5, ntyp = 4
/
ATOMIC_SPECIES
B 10.81 B.upf
Te 127.60 Te.upf
I 126.90 I.upf
O 16.00 O.upf
ATOMIC_POSITIONS angstrom
B 0.0000 0.0000 0.0000
Te 2.6102 2.6102 0.0000
I 0.0000 2.6102 2.2810
I 2.6102 0.0000 2.2810
O 2.6102 2.6102 2.2810
CELL_PARAMETERS angstrom
5.2205 0.0000 0.0000
0.0000 5.2205 0.0000
0.0000 0.0000 4.5621
! Uncorrected formation energy ... 1125 meV per atom
! N(E_F) ... 1.52 states/eV per cell
! Crystal system ... tetragonal
! ΔE to the lowest computed polymorph ... 1.053 eV per atom

2.
! AsP2Cl, relaxed, DFT PBE-GGA; values from VASP
&SYSTEM
  ibrav = 0, nat = 8, ntyp = 3
/
ATOMIC_SPECIES
As 74.92 As.upf
P 30.97 P.upf
Cl 35.45 Cl.upf
ATOMIC_POSITIONS angstrom
As 0.0000 0.0000 0.0000
As 1.8007 1.8758 6.4576
P 0.0000 0.0000 7.1845
P 0.0000 1.8758 8.5076
P 1.8007 0.0000 2.0501
P 1.8007 1.8758 0.7269
Cl 0.0000 1.8758 4.4306
Cl 1.8007 0.0000 10.8882
CELL_PARAMETERS angstrom
3.6014 0.0000 0.0000
0.0000 3.7516 0.0000
0.0000 0.0000 12.9151
! Uncorrected formation energy ... 224 meV per atom
! N(E_F) ... 2.78 states/eV per cell
! Crystal system ... orthorhombic
! ΔE to the lowest computed polymorph ... 0.221 eV per atom

3.
! RbMg2Br, relaxed, DFT PBE-GGA; values from VASP
&SYSTEM
  ibrav = 0, nat = 16, ntyp = 3
/
ATOMIC_SPECIES
Rb 85.47 Rb.upf
Mg 24.30 Mg.upf
Br 79.90 Br.upf
ATOMIC_POSITIONS angstrom
Rb 0.0000 0.0000 0.0000
Rb 0.0000 4.3185 4.3185
Rb 4.3185 0.0000 4.3185
Rb 4.3185 4.3185 0.0000
Mg 2.1592 2.1592 2.1592
Mg 2.1592 2.1592 6.4777
Mg 2.1592 6.4777 2.1592
Mg 2.1592 6.4777 6.4777
Mg 6.4777 2.1592 2.1592
Mg 6.4777 2.1592 6.4777
Mg 6.4777 6.4777 2.1592
Mg 6.4777 6.4777 6.4777
Br 0.0000 0.0000 4.3185
Br 0.0000 4.3185 0.0000
Br 4.3185 0.0000 0.0000
Br 4.3185 4.3185 4.3185
CELL_PARAMETERS angstrom
8.6370 0.0000 0.0000
0.0000 8.6370 0.0000
0.0000 0.0000 8.6370
! Uncorrected formation energy ... -40 meV per atom
! N(E_F) ... 0.67 states/eV per cell
! Crystal system ... cubic
! ΔE to the lowest computed polymorph ... 0.237 eV per atom